1.
! CaCeMg GGA-PBE relaxed; values from VASP
! calculated density	3.706	Mg/m³
! Fermi-level density of states	11.35	states/eV/cell
! crystal system	monoclinic
! energy relative to the lowest polymorph listed for this composition	0.000	eV/atom
&SYSTEM
  ibrav = 0, nat = 6, ntyp = 3
/
ATOMIC_SPECIES
Ca 40.08 Ca.upf
Ce 140.12 Ce.upf
Mg 24.30 Mg.upf
ATOMIC_POSITIONS crystal
Ca 0.238 0.238 0.264
Ca 0.762 0.762 0.736
Ce 0.288 0.288 0.951
Ce 0.712 0.712 0.049
Mg 0.254 0.254 0.564
Mg 0.746 0.746 0.436
CELL_PARAMETERS angstrom
2.802 -2.672 0.000
2.802 2.672 0.000
-0.270 0.000 12.236

=====

2.
! CaCeMg17 GGA-PBE relaxed; values from VASP
! calculated density	2.096	Mg/m³
! Fermi-level density of states	15.49	states/eV/cell
! crystal system	trigonal
&SYSTEM
  ibrav = 0, nat = 19, ntyp = 3
/
ATOMIC_SPECIES
Ca 40.08 Ca.upf
Ce 140.12 Ce.upf
Mg 24.30 Mg.upf
ATOMIC_POSITIONS crystal
Ca 0.000 0.000 0.000
Ce 0.668 0.668 0.668
Mg 0.033 0.336 0.638
Mg 0.033 0.638 0.336
Mg 0.176 0.686 0.686
Mg 0.236 0.236 0.236
Mg 0.336 0.033 0.638
Mg 0.336 0.638 0.033
Mg 0.340 0.340 0.833
Mg 0.340 0.833 0.340
Mg 0.435 0.435 0.435
Mg 0.494 0.985 0.985
Mg 0.638 0.033 0.336
Mg 0.638 0.336 0.033
Mg 0.686 0.176 0.686
Mg 0.686 0.686 0.176
Mg 0.833 0.340 0.340
Mg 0.985 0.494 0.985
Mg 0.985 0.985 0.494
CELL_PARAMETERS angstrom
5.162 2.980 5.092
-5.162 2.980 5.092
0.000 -5.961 5.092

=====

3.
! CaCeMg6 GGA-PBE relaxed; values from VASP
! calculated density	2.522	Mg/m³
! Fermi-level density of states	11.15	states/eV/cell
! crystal system	tetragonal
! energy relative to the lowest polymorph listed for this composition	0.020	eV/atom
&SYSTEM
  ibrav = 0, nat = 8, ntyp = 3
/
ATOMIC_SPECIES
Ca 40.08 Ca.upf
Ce 140.12 Ce.upf
Mg 24.30 Mg.upf
ATOMIC_POSITIONS crystal
Ca 0.000 0.000 0.000
Ce 0.500 0.500 0.000
Mg 0.000 0.500 0.000
Mg 0.254 0.254 0.500
Mg 0.254 0.746 0.500
Mg 0.500 0.000 0.000
Mg 0.746 0.254 0.500
Mg 0.746 0.746 0.500
CELL_PARAMETERS angstrom
6.797 0.000 0.000
0.000 6.797 0.000
0.000 0.000 4.646

=====

Computed calculated formation energy (eV per atom) in order:
0.070; -0.021; 0.013